#A
Ta2CoTc: single point on PBEsol structure, SCAN.

Cell lengths 3.1320, 3.1320, 6.0184 Å; angles 90.00, 90.00, 90.00 degrees
Closest atoms and distances in Å follow each position.
Fractional positions:
Ta  0.0000  0.0000  0.2428  4 Co 2.65, 4 Tc 2.70, 1 Ta 2.92
Ta  0.0000  0.0000  0.7572  4 Co 2.65, 4 Tc 2.70, 1 Ta 2.92
Co  0.5000  0.5000  0.0000  8 Ta 2.65
Tc  0.5000  0.5000  0.5000  8 Ta 2.70, 2 Co 3.01


#B
Ta2CoTc: single point on PBEsol structure, SCAN.

Cell lengths 5.1504, 5.1504, 5.1504 Å; angles 144.10, 131.05, 62.17 degrees
Closest atoms and distances in Å follow each position.
Fractional positions:
Ta  0.0000  0.0000  0.0000  2 Tc 2.64, 4 Co 2.66, 2 Ta 2.77
Ta  0.7420  0.2420  0.5000  2 Co 2.65, 4 Tc 2.66, 2 Ta 2.77
Co  0.5016  0.5016  0.0000  6 Ta 2.65-2.66, 2 Tc 2.81
Tc  0.2386  0.7386  0.5000  6 Ta 2.64-2.66, 2 Co 2.81


Going by the energies, #A is most stable and the next is 223 meV per atom up.